[1]
Computed, not measured: a geometry-optimized HgICl2 structure at the PBE level of DFT.

## Properties
The crystal system is triclinic. As for the formation energy from raw total energies: -1.71 eV/f.u. The calculation puts the polymorph energy (0 for the lowest one) at 3 meV per atom. The symmetry is P-1, No. 2. As for the final energy: -1.814 eV per atom.

Cell: 6.0466 6.4317 8.4115 Å, 82.17 79.55 68.50°
Fractional coordinates of all 8 atoms:
Hg 0.1864 0.2058 0.3965
Hg 0.8136 0.7942 0.6035
I 0.1350 0.6213 0.9168
I 0.8650 0.3787 0.0832
Cl 0.1707 0.6970 0.4165
Cl 0.4274 0.9328 0.7511
Cl 0.5726 0.0672 0.2489
Cl 0.8293 0.3030 0.5835

=====

[2]
Computed, not measured: a geometry-optimized In2HgICl structure at the PBE level of DFT.

## Properties
The crystal system is monoclinic. As for the formation energy from raw total energies: -2.46 eV/f.u. The calculation puts the polymorph energy (0 for the lowest one) at 0 meV per atom. The symmetry is C2/m, No. 12. As for the final energy: -2.327 eV per atom.

Cell: 7.5340 7.5340 10.5855 Å, 102.43 102.43 37.64°
Fractional coordinates of all 10 atoms:
In 0.1238 0.1238 0.1103
In 0.3633 0.3633 0.4324
In 0.6367 0.6367 0.5676
In 0.8762 0.8762 0.8897
Hg 0.4782 0.4782 0.1655
Hg 0.5218 0.5218 0.8345
I 0.2179 0.2179 0.8195
I 0.7821 0.7821 0.1805
Cl 0.1555 0.1555 0.4005
Cl 0.8445 0.8445 0.5995

=====

[3]
Computed, not measured: a geometry-optimized In4HgI2Cl2 structure at the PBE level of DFT.

## Properties
The crystal system is monoclinic. As for the formation energy from raw total energies: -4.97 eV/f.u. The symmetry is C2/m, No. 12. As for the final energy: -2.558 eV per atom.

Cell: 10.8323 10.8323 6.8050 Å, 106.02 106.02 25.13°
Fractional coordinates of all 9 atoms:
In 0.0508 0.0508 0.2535
In 0.2453 0.2453 0.2086
In 0.7547 0.7547 0.7914
In 0.9492 0.9492 0.7465
Hg 0.5000 0.5000 0.5000
I 0.3881 0.3881 0.9681
I 0.6119 0.6119 0.0319
Cl 0.1799 0.1799 0.5409
Cl 0.8201 0.8201 0.4591

=====

[4]
Computed, not measured: a geometry-optimized In2Hg2ICl structure at the PBE level of DFT.

## Properties
The crystal system is orthorhombic. As for the formation energy from raw total energies: -2.40 eV/f.u. The symmetry is Pmc2_1, No. 26. As for the final energy: -1.980 eV per atom.

Cell: 4.7273 9.9356 8.7896 Å, 90.00 90.00 90.00°
Fractional coordinates of all 12 atoms:
In 0.0000 0.0815 0.0000
In 0.0000 0.9185 0.5000
In 0.5000 0.3352 0.4400
In 0.5000 0.6648 0.9400
Hg 0.0000 0.4230 0.7394
Hg 0.0000 0.5770 0.2394
Hg 0.5000 0.3281 0.0512
Hg 0.5000 0.6719 0.5512
I 0.5000 0.0964 0.6881
I 0.5000 0.9036 0.1881
Cl 0.0000 0.1931 0.3445
Cl 0.0000 0.8069 0.8445

=====

[5]
Computed, not measured: a geometry-optimized InHgI4Cl structure at the PBE level of DFT.

## Properties
The crystal system is monoclinic. As for the formation energy from raw total energies: -3.16 eV/f.u. The symmetry is C2/m, No. 12. As for the final energy: -2.035 eV per atom.

Cell: 8.1201 8.1201 14.4739 Å, 113.48 113.48 63.80°
Fractional coordinates of all 14 atoms:
In 0.1090 0.1090 0.2525
In 0.8910 0.8910 0.7475
Hg 0.3821 0.3821 0.8653
Hg 0.6179 0.6179 0.1347
I 0.0083 0.4898 0.2425
I 0.0919 0.0919 0.9159
I 0.1172 0.1172 0.4417
I 0.4898 0.0083 0.2425
I 0.5102 0.9917 0.7575
I 0.8828 0.8828 0.5583
I 0.9081 0.9081 0.0841
I 0.9917 0.5102 0.7575
Cl 0.4125 0.4125 0.0634
Cl 0.5875 0.5875 0.9366

=====

[6]
Computed, not measured: a geometry-optimized InHgICl4 structure at the PBE level of DFT.

## Properties
The crystal system is monoclinic. As for the formation energy from raw total energies: -5.25 eV/f.u. The symmetry is C2/m, No. 12. As for the final energy: -2.461 eV per atom.

Cell: 7.5486 7.5486 10.8832 Å, 100.71 100.71 89.29°
Fractional coordinates of all 14 atoms:
In 0.1066 0.1066 0.2917
In 0.8934 0.8934 0.7083
Hg 0.3998 0.3998 0.1472
Hg 0.6002 0.6002 0.8528
I 0.3498 0.3498 0.8091
I 0.6502 0.6502 0.1909
Cl 0.1639 0.1639 0.0756
Cl 0.1644 0.8002 0.2943
Cl 0.1998 0.8356 0.7057
Cl 0.3283 0.3283 0.4040
Cl 0.6717 0.6717 0.5960
Cl 0.8002 0.1644 0.2943
Cl 0.8356 0.1998 0.7057
Cl 0.8361 0.8361 0.9244

=====

[7]
Computed, not measured: a geometry-optimized In2HgICl structure at the PBE level of DFT.

## Properties
The crystal system is tetragonal. As for the formation energy from raw total energies: 0.31 eV/f.u. The calculation puts the polymorph energy (0 for the lowest one) at 554 meV per atom. The symmetry is P4/mmm, No. 123. As for the final energy: -1.773 eV per atom.

Cell: 6.4145 6.4145 6.4112 Å, 90.00 90.00 90.00°
Fractional coordinates of all 5 atoms:
In 0.0000 0.5000 0.0000
In 0.5000 0.0000 0.0000
Hg 0.0000 0.0000 0.5000
I 0.5000 0.5000 0.0000
Cl 0.5000 0.5000 0.5000

=====

[8]
Computed, not measured: a geometry-optimized KHgICl2 structure at the PBE level of DFT.

## Properties
The crystal system is monoclinic. As for the formation energy from raw total energies: -5.15 eV/f.u. The calculation puts the polymorph energy (0 for the lowest one) at 0 meV per atom. The symmetry is P2_1/m, No. 11. As for the final energy: -2.359 eV per atom.

Cell: 7.7590 6.0854 8.5997 Å, 90.00 93.80 90.00°
Fractional coordinates of all 10 atoms:
K 0.2176 0.2500 0.1259
K 0.7824 0.7500 0.8741
Hg 0.1212 0.2500 0.6429
Hg 0.8788 0.7500 0.3571
I 0.4513 0.2500 0.7597
I 0.5487 0.7500 0.2403
Cl 0.0561 0.7500 0.6105
Cl 0.0937 0.7500 0.1347
Cl 0.9063 0.2500 0.8653
Cl 0.9439 0.2500 0.3895

=====

[9]
Computed, not measured: a geometry-optimized KHgICl2 structure at the PBE level of DFT.

## Properties
The crystal system is tetragonal. As for the formation energy from raw total energies: -4.63 eV/f.u. The calculation puts the polymorph energy (0 for the lowest one) at 105 meV per atom. The symmetry is P4/mmm, No. 123. As for the final energy: -2.254 eV per atom.

Cell: 5.3906 5.3906 5.9484 Å, 90.00 90.00 90.00°
Fractional coordinates of all 5 atoms:
K 0.0000 0.0000 0.0000
Hg 0.5000 0.5000 0.5000
I 0.5000 0.5000 0.0000
Cl 0.0000 0.5000 0.5000
Cl 0.5000 0.0000 0.5000

=====

[10]
Computed, not measured: a geometry-optimized KHgICl structure at the PBE level of DFT.

## Properties
The crystal system is cubic. As for the formation energy from raw total energies: -3.09 eV/f.u. The symmetry is F-43m, No. 216. As for the final energy: -1.972 eV per atom.

Cell: 5.6599 5.6599 5.6599 Å, 60.00 60.00 60.00°
Fractional coordinates of all 4 atoms:
K 0.0000 0.0000 0.0000
Hg 0.5000 0.5000 0.5000
I 0.7500 0.7500 0.7500
Cl 0.2500 0.2500 0.2500

=====

[11]
Computed, not measured: a geometry-optimized HgMoI2Cl structure at the PBE level of DFT.

## Properties
The crystal system is tetragonal. As for the formation energy from raw total energies: 3.45 eV/f.u. The symmetry is P4/mmm, No. 123. As for the final energy: -2.527 eV per atom.

Cell: 5.9770 5.9770 5.1038 Å, 90.00 90.00 90.00°
Fractional coordinates of all 5 atoms:
Hg 0.0000 0.0000 0.0000
Mo 0.5000 0.5000 0.5000
I 0.0000 0.5000 0.0000
I 0.5000 0.0000 0.0000
Cl 0.0000 0.0000 0.5000

=====

[12]
Computed, not measured: a geometry-optimized HgI2NCl structure at the PBE level of DFT.

## Properties
The crystal system is tetragonal. As for the formation energy from raw total energies: 5.17 eV/f.u. The calculation puts the polymorph energy (0 for the lowest one) at 135 meV per atom. The symmetry is P4/mmm, No. 123. As for the final energy: -1.680 eV per atom.

Cell: 6.2151 6.2151 4.1739 Å, 90.00 90.00 90.00°
Fractional coordinates of all 5 atoms:
Hg 0.0000 0.0000 0.0000
I 0.0000 0.5000 0.0000
I 0.5000 0.0000 0.0000
N 0.0000 0.0000 0.5000
Cl 0.5000 0.5000 0.5000

=====

[13]
Computed, not measured: a geometry-optimized HgIN2Cl structure at the PBE level of DFT.

## Properties
The crystal system is tetragonal. As for the formation energy from raw total energies: 8.81 eV/f.u. The calculation puts the polymorph energy (0 for the lowest one) at 0 meV per atom. The symmetry is P4/mmm, No. 123. As for the final energy: -2.309 eV per atom.

Cell: 4.3301 4.3301 7.2243 Å, 90.00 90.00 90.00°
Fractional coordinates of all 5 atoms:
Hg 0.0000 0.0000 0.0000
I 0.0000 0.0000 0.5000
N 0.0000 0.5000 0.0000
N 0.5000 0.0000 0.0000
Cl 0.5000 0.5000 0.5000

=====

[14]
Computed, not measured: a geometry-optimized HgIN2Cl structure at the PBE level of DFT.

## Properties
The crystal system is tetragonal. As for the formation energy from raw total energies: 9.50 eV/f.u. The calculation puts the polymorph energy (0 for the lowest one) at 140 meV per atom. The symmetry is P4/mmm, No. 123. As for the final energy: -2.169 eV per atom.

Cell: 4.3306 4.3306 8.3864 Å, 90.00 90.00 90.00°
Fractional coordinates of all 5 atoms:
Hg 0.0000 0.0000 0.0000
I 0.5000 0.5000 0.0000
N 0.0000 0.5000 0.5000
N 0.5000 0.0000 0.5000
Cl 0.5000 0.5000 0.5000

=====

[15]
Computed, not measured: a geometry-optimized HgI2NCl structure at the PBE level of DFT.

## Properties
The crystal system is tetragonal. As for the formation energy from raw total energies: 4.50 eV/f.u. The calculation puts the polymorph energy (0 for the lowest one) at 0 meV per atom. The symmetry is P4/mmm, No. 123. As for the final energy: -1.815 eV per atom.

Cell: 7.7036 7.7036 3.2859 Å, 90.00 90.00 90.00°
Fractional coordinates of all 5 atoms:
Hg 0.0000 0.0000 0.0000
I 0.0000 0.5000 0.5000
I 0.5000 0.0000 0.5000
N 0.5000 0.5000 0.0000
Cl 0.5000 0.5000 0.5000

=====

[16]
Computed, not measured: a geometry-optimized NaHgICl2 structure at the PBE level of DFT.

## Properties
The crystal system is monoclinic. As for the formation energy from raw total energies: -4.65 eV/f.u. The symmetry is P2_1/m, No. 11. As for the final energy: -2.304 eV per atom.

Cell: 7.4788 5.8201 8.3446 Å, 90.00 99.81 90.00°
Fractional coordinates of all 10 atoms:
Na 0.1564 0.2500 0.4282
Na 0.8436 0.7500 0.5718
Hg 0.1389 0.2500 0.8798
Hg 0.8611 0.7500 0.1202
I 0.4495 0.2500 0.7633
I 0.5505 0.7500 0.2367
Cl 0.0347 0.7500 0.8898
Cl 0.1233 0.7500 0.3939
Cl 0.8767 0.2500 0.6061
Cl 0.9653 0.2500 0.1102

=====

[17]
Computed, not measured: a geometry-optimized Hg2IClO structure at the PBE level of DFT.

## Properties
The crystal system is monoclinic. As for the formation energy from raw total energies: -1.54 eV/f.u. The symmetry is C2/m, No. 12. As for the final energy: -2.099 eV per atom.

Cell: 9.5941 9.5941 8.9589 Å, 105.86 105.86 23.85°
Fractional coordinates of all 10 atoms:
Hg 0.0262 0.0262 0.3179
Hg 0.4078 0.4078 0.9953
Hg 0.5922 0.5922 0.0047
Hg 0.9738 0.9738 0.6821
I 0.1235 0.1235 0.6167
I 0.8765 0.8765 0.3833
Cl 0.1790 0.1790 0.1050
Cl 0.8210 0.8210 0.8950
O 0.4862 0.4862 0.8204
O 0.5138 0.5138 0.1796

=====

[18]
Computed, not measured: a geometry-optimized Hg4PI2Cl structure at the PBE level of DFT.

## Properties
The crystal system is orthorhombic. As for the formation energy from raw total energies: -0.82 eV/f.u. The symmetry is Pmn2_1, No. 31. As for the final energy: -1.548 eV per atom.

Cell: 9.8550 8.2622 7.5253 Å, 90.00 90.00 90.00°
Fractional coordinates of all 16 atoms:
Hg 0.0000 0.0646 0.0000
Hg 0.0000 0.8203 0.3636
Hg 0.2376 0.2679 0.5100
Hg 0.2624 0.7321 0.0100
Hg 0.5000 0.1797 0.8636
Hg 0.5000 0.9354 0.5000
Hg 0.7376 0.7321 0.0100
Hg 0.7624 0.2679 0.5100
P 0.0000 0.7644 0.0400
P 0.5000 0.2356 0.5400
I 0.2186 0.3041 0.0323
I 0.2814 0.6959 0.5323
I 0.7186 0.6959 0.5323
I 0.7814 0.3041 0.0323
Cl 0.0000 0.0587 0.5867
Cl 0.5000 0.9413 0.0867

=====

[19]
Computed, not measured: a geometry-optimized Rb2HgI2Cl2 structure at the PBE level of DFT.

## Properties
The crystal system is monoclinic. As for the formation energy from raw total energies: -8.05 eV/f.u. The symmetry is C2/m, No. 12. As for the final energy: -2.440 eV per atom.

Cell: 8.1807 8.1807 8.5734 Å, 118.22 118.22 33.78°
Fractional coordinates of all 7 atoms:
Rb 0.1646 0.1646 0.1913
Rb 0.8354 0.8354 0.8087
Hg 0.0000 0.0000 0.5000
I 0.4627 0.4627 0.2124
I 0.5373 0.5373 0.7876
Cl 0.1797 0.1797 0.5937
Cl 0.8203 0.8203 0.4063

=====

[20]
Computed, not measured: a geometry-optimized Rb2HgI6Cl structure at the PBE level of DFT.

## Properties
The crystal system is tetragonal. As for the formation energy from raw total energies: -5.81 eV/f.u. The symmetry is I4/mmm, No. 139. As for the final energy: -1.920 eV per atom.

Cell: 8.6069 8.6069 8.6069 Å, 118.67 118.67 92.33°
Fractional coordinates of all 10 atoms:
Rb 0.2500 0.7500 0.5000
Rb 0.7500 0.2500 0.5000
Hg 0.0000 0.0000 0.0000
I 0.2297 0.2297 0.4594
I 0.2297 0.7703 0.0000
I 0.2764 0.2764 0.0000
I 0.7236 0.7236 0.0000
I 0.7703 0.2297 0.0000
I 0.7703 0.7703 0.5406
Cl 0.5000 0.5000 0.0000

=====

[21]
Computed, not measured: a geometry-optimized HgRuI2Cl structure at the PBE level of DFT.

## Properties
The crystal system is tetragonal. As for the formation energy from raw total energies: 1.35 eV/f.u. The symmetry is P4/mmm, No. 123. As for the final energy: -2.634 eV per atom.

Cell: 5.2408 5.2408 5.4781 Å, 90.00 90.00 90.00°
Fractional coordinates of all 5 atoms:
Hg 0.0000 0.0000 0.0000
Ru 0.0000 0.0000 0.5000
I 0.0000 0.5000 0.5000
I 0.5000 0.0000 0.5000
Cl 0.5000 0.5000 0.0000

=====

[22]
Computed, not measured: a geometry-optimized Hg2SICl structure at the PBE level of DFT.

## Properties
The crystal system is monoclinic. As for the formation energy from raw total energies: -1.54 eV/f.u. The symmetry is C2/m, No. 12. As for the final energy: -1.934 eV per atom.

Cell: 7.3768 7.3768 12.1045 Å, 112.03 112.03 34.16°
Fractional coordinates of all 10 atoms:
Hg 0.0484 0.0484 0.3644
Hg 0.3493 0.3493 0.1454
Hg 0.6507 0.6507 0.8546
Hg 0.9516 0.9516 0.6356
S 0.4687 0.4687 0.7567
S 0.5313 0.5313 0.2433
I 0.1702 0.1702 0.6118
I 0.8298 0.8298 0.3882
Cl 0.1663 0.1663 0.0544
Cl 0.8337 0.8337 0.9456

=====

[23]
Computed, not measured: a geometry-optimized Hg3S2ICl structure at the PBE level of DFT.

## Properties
The crystal system is monoclinic. As for the formation energy from raw total energies: -2.00 eV/f.u. The symmetry is C2/m, No. 12. As for the final energy: -2.080 eV per atom.

Cell: 10.5793 10.5793 13.3391 Å, 127.77 127.77 53.10°
Fractional coordinates of all 28 atoms:
Hg 0.0000 0.5000 0.0000
Hg 0.0517 0.4814 0.2922
Hg 0.0979 0.0979 0.7070
Hg 0.2181 0.7819 0.0000
Hg 0.3877 0.3877 0.7384
Hg 0.4814 0.0517 0.2922
Hg 0.5000 0.0000 0.0000
Hg 0.5186 0.9483 0.7078
Hg 0.6123 0.6123 0.2616
Hg 0.7819 0.2181 0.0000
Hg 0.9021 0.9021 0.2930
Hg 0.9483 0.5186 0.7078
S 0.1223 0.6400 0.7485
S 0.1314 0.6169 0.2498
S 0.3600 0.8777 0.2515
S 0.3831 0.8686 0.7502
S 0.6169 0.1314 0.2498
S 0.6400 0.1223 0.7485
S 0.8686 0.3831 0.7502
S 0.8777 0.3600 0.2515
I 0.1246 0.1246 0.4959
I 0.3793 0.3793 0.0085
I 0.6207 0.6207 0.9915
I 0.8754 0.8754 0.5041
Cl 0.1320 0.1320 0.0275
Cl 0.3569 0.3569 0.4845
Cl 0.6431 0.6431 0.5155
Cl 0.8680 0.8680 0.9725